# 1
Computed, not measured: a relaxed Pr4IrRh2 crystal at the PBE level of DFT.

Output
formation enthalpy at 0 K = -0.5886 eV per atom
crystal system = tetragonal
relative energy among the computed polymorphs = 0.00 eV/f.u.

The structure in CIF format:
```
data_Pr4IrRh2
_chemical_formula_sum 'Pr16 Ir4 Rh8'
_cell_length_a 8.9519
_cell_length_b 8.9519
_cell_length_c 8.9249
_cell_angle_alpha 90.00
_cell_angle_beta 90.00
_cell_angle_gamma 90.00
_symmetry_space_group_name_H-M 'I -4 2 d'
_symmetry_Int_Tables_number 122
_symmetry_space_group_name_Hall 'I -4 2bw'
loop_
_atom_site_label
_atom_site_fract_x
_atom_site_fract_y
_atom_site_fract_z
_atom_site_occupancy
Pr1 0.0592 0.6895 0.4358 1
Ir1 0.0000 0.0000 0.5000 1
Rh1 0.1236 0.7500 0.1250 1
```


# 2
Computed, not measured: a relaxed FeCo2Ni2 crystal at the PBE level of DFT.

Output
formation enthalpy at 0 K = 0.0351 eV per atom
crystal system = monoclinic
relative energy among the computed polymorphs = 0.00 eV/f.u.

The structure in CIF format:
```
data_FeCo2Ni2
_chemical_formula_sum 'Fe1 Co2 Ni2'
_cell_length_a 3.8885
_cell_length_b 2.4351
_cell_length_c 6.2231
_cell_angle_alpha 90.00
_cell_angle_beta 108.12
_cell_angle_gamma 90.00
_symmetry_space_group_name_H-M 'P 1 2/m 1'
_symmetry_Int_Tables_number 10
_symmetry_space_group_name_Hall '-P 2y'
loop_
_atom_site_label
_atom_site_fract_x
_atom_site_fract_y
_atom_site_fract_z
_atom_site_occupancy
Fe1 0.0000 0.0000 0.0000 1
Co1 0.2008 0.0000 0.4013 1
Ni1 0.3935 0.5000 0.7875 1
```


# 3
Computed, not measured: a relaxed TcWAu2 crystal at the PBE level of DFT.

Output
formation enthalpy at 0 K = 0.3427 eV per atom
crystal system = tetragonal
relative energy among the computed polymorphs = 0.35 eV/f.u.

The structure in CIF format:
```
data_TcWAu2
_chemical_formula_sum 'Tc2 W2 Au4'
_cell_length_a 4.0466
_cell_length_b 4.0466
_cell_length_c 7.9484
_cell_angle_alpha 90.00
_cell_angle_beta 90.00
_cell_angle_gamma 90.00
_symmetry_space_group_name_H-M 'I -4 m 2'
_symmetry_Int_Tables_number 119
_symmetry_space_group_name_Hall 'I -4 -2'
loop_
_atom_site_label
_atom_site_fract_x
_atom_site_fract_y
_atom_site_fract_z
_atom_site_occupancy
Tc1 0.0000 0.0000 0.0000 1
W1 0.0000 0.5000 0.7500 1
Au1 0.0000 0.0000 0.5000 1
Au2 0.0000 0.5000 0.2500 1
```


Copy entry 1 word for word.
Computed, not measured: a relaxed Pr4IrRh2 crystal at the PBE level of DFT.

Output
formation enthalpy at 0 K = -0.5886 eV per atom
crystal system = tetragonal
relative energy among the computed polymorphs = 0.00 eV/f.u.

The structure in CIF format:
```
data_Pr4IrRh2
_chemical_formula_sum 'Pr16 Ir4 Rh8'
_cell_length_a 8.9519
_cell_length_b 8.9519
_cell_length_c 8.9249
_cell_angle_alpha 90.00
_cell_angle_beta 90.00
_cell_angle_gamma 90.00
_symmetry_space_group_name_H-M 'I -4 2 d'
_symmetry_Int_Tables_number 122
_symmetry_space_group_name_Hall 'I -4 2bw'
loop_
_atom_site_label
_atom_site_fract_x
_atom_site_fract_y
_atom_site_fract_z
_atom_site_occupancy
Pr1 0.0592 0.6895 0.4358 1
Ir1 0.0000 0.0000 0.5000 1
Rh1 0.1236 0.7500 0.1250 1
```


What did the second record say?
Computed, not measured: a relaxed FeCo2Ni2 crystal at the PBE level of DFT.

Output
formation enthalpy at 0 K = 0.0351 eV per atom
crystal system = monoclinic
relative energy among the computed polymorphs = 0.00 eV/f.u.

The structure in CIF format:
```
data_FeCo2Ni2
_chemical_formula_sum 'Fe1 Co2 Ni2'
_cell_length_a 3.8885
_cell_length_b 2.4351
_cell_length_c 6.2231
_cell_angle_alpha 90.00
_cell_angle_beta 108.12
_cell_angle_gamma 90.00
_symmetry_space_group_name_H-M 'P 1 2/m 1'
_symmetry_Int_Tables_number 10
_symmetry_space_group_name_Hall '-P 2y'
loop_
_atom_site_label
_atom_site_fract_x
_atom_site_fract_y
_atom_site_fract_z
_atom_site_occupancy
Fe1 0.0000 0.0000 0.0000 1
Co1 0.2008 0.0000 0.4013 1
Ni1 0.3935 0.5000 0.7875 1
```